No. 1
DFT (GGA-PBE) results for Tm2PbO after structural relaxation.

Summary:
space-group type	No. 129
magnetization	0.00	μB per cell
density of states at the Fermi level	1.25	states/eV/f.u.
energy above the most stable polymorph in this dataset	0	meV per atom

Geometry as POSCAR:
```
Tm2PbO
1.0
4.468 0.000 0.000
0.000 4.468 0.000
0.000 0.000 8.709
Tm Pb O
4 2 2
Direct
0.250 0.250 0.172
0.250 0.750 0.500
0.750 0.250 0.500
0.750 0.750 0.828
0.250 0.250 0.804
0.750 0.750 0.196
0.250 0.250 0.430
0.750 0.750 0.570
```


No. 2
DFT (GGA-PBE) results for Tm5Pb4O after structural relaxation.

Summary:
total energy	-0.365	Ry/atom
space-group type	No. 79
magnetization	0.00	μB per cell
density of states at the Fermi level	6.33	states/eV/f.u.

Geometry as POSCAR:
```
Tm5Pb4O
1.0
-4.640 4.640 3.086
4.640 -4.640 3.086
4.640 4.640 -3.086
Tm Pb O
5 4 1
Direct
0.000 0.000 0.000
0.331 0.676 0.873
0.458 0.331 0.654
0.676 0.803 0.346
0.803 0.458 0.127
0.006 0.748 0.607
0.141 0.399 0.393
0.399 0.006 0.259
0.748 0.141 0.741
0.637 0.637 0.000
```


No. 3
DFT (GGA-PBE) results for TmUPb2O6 after structural relaxation.

Summary:
total energy	-0.574	Ry/atom
space-group type	No. 14
magnetization	2.00	μB per cell

Geometry as POSCAR:
```
TmUPb2O6
1.0
5.997 0.000 0.000
0.000 6.092 0.000
-5.987 0.000 8.560
Tm U Pb O
2 2 4 12
Direct
0.000 0.000 0.000
0.000 0.500 0.500
0.500 0.000 0.500
0.500 0.500 0.000
0.243 0.027 0.749
0.243 0.473 0.249
0.757 0.527 0.751
0.757 0.973 0.251
0.163 0.198 0.457
0.163 0.302 0.957
0.257 0.708 0.454
0.257 0.792 0.954
0.343 0.022 0.255
0.343 0.478 0.755
0.657 0.522 0.245
0.657 0.978 0.745
0.743 0.208 0.046
0.743 0.292 0.546
0.837 0.698 0.043
0.837 0.802 0.543
```


No. 4
DFT (GGA-PBE) results for TmUPbO6 after structural relaxation.

Summary:
total energy	-0.593	Ry/atom
space-group type	No. 149
magnetization	0.00	μB per cell
density of states at the Fermi level	3.68	states/eV/f.u.

Geometry as POSCAR:
```
TmUPbO6
1.0
5.798 0.000 0.000
-2.899 5.021 0.000
0.000 0.000 4.862
Tm U Pb O
1 1 1 6
Direct
0.000 0.000 0.000
0.333 0.667 0.000
0.667 0.333 0.500
0.033 0.352 0.223
0.033 0.681 0.777
0.319 0.352 0.777
0.319 0.967 0.223
0.648 0.681 0.223
0.648 0.967 0.777
```


Repeat the first record exactly.
DFT (GGA-PBE) results for Tm2PbO after structural relaxation.

Summary:
space-group type	No. 129
magnetization	0.00	μB per cell
density of states at the Fermi level	1.25	states/eV/f.u.
energy above the most stable polymorph in this dataset	0	meV per atom

Geometry as POSCAR:
```
Tm2PbO
1.0
4.468 0.000 0.000
0.000 4.468 0.000
0.000 0.000 8.709
Tm Pb O
4 2 2
Direct
0.250 0.250 0.172
0.250 0.750 0.500
0.750 0.250 0.500
0.750 0.750 0.828
0.250 0.250 0.804
0.750 0.750 0.196
0.250 0.250 0.430
0.750 0.750 0.570
```